[1]
This record from Alexandria describes crystalline SiP2RuCl at its relaxed geometry. The functional is GGA-PBE.

## Properties
calculated volume: 102.7 Å³ per cell
magnetic moment: 0.00 Bohr magnetons per cell
theoretical density: 3.66 g/cm3
crystal system: tetragonal
Fermi-level density of states: 4.4 states/eV/cell
formation energy (no corrections): 0.67 eV per atom
raw total energy: -4.806 eV per atom
excess energy over the best structure of this formula in the dataset: 0.0000 eV per atom

Cell lengths 4.5100, 4.5100, 5.0478 Å; angles 90.00, 90.00, 90.00 degrees
Space group P4/mmm (No. 123)
Asymmetric unit:
Si: 0.0000 0.0000 0.0000 x1
P: 0.0000 0.5000 0.5000 x2
Ru: 0.5000 0.5000 0.5000 x1
Cl: 0.5000 0.5000 0.0000 x1

***

[2]
This record from Alexandria describes crystalline SiPRuCl2 at its relaxed geometry. The functional is GGA-PBE.

## Properties
calculated volume: 100.2 Å³ per cell
magnetic moment: 3.09 Bohr magnetons per cell
theoretical density: 3.83 g/cm3
crystal system: tetragonal
Fermi-level density of states: 6.0 states/eV/cell
formation energy (no corrections): 0.83 eV per atom
raw total energy: -3.929 eV per atom
excess energy over the best structure of this formula in the dataset: 0.2796 eV per atom

Cell lengths 4.5121, 4.5121, 4.9220 Å; angles 90.00, 90.00, 90.00 degrees
Space group P4/mmm (No. 123)
Asymmetric unit:
Si: 0.0000 0.0000 0.0000 x1
P: 0.0000 0.0000 0.5000 x1
Ru: 0.5000 0.5000 0.5000 x1
Cl: 0.0000 0.5000 0.0000 x2

***

[3]
This record from Alexandria describes crystalline SiP2RuCl at its relaxed geometry. The functional is GGA-PBE.

## Properties
calculated volume: 89.8 Å³ per cell
magnetic moment: 1.68 Bohr magnetons per cell
theoretical density: 4.19 g/cm3
crystal system: tetragonal
Fermi-level density of states: 5.8 states/eV/cell
formation energy (no corrections): 1.01 eV per atom
raw total energy: -4.466 eV per atom
excess energy over the best structure of this formula in the dataset: 0.3396 eV per atom

Cell lengths 4.5130, 4.5130, 4.4090 Å; angles 90.00, 90.00, 90.00 degrees
Space group P4/mmm (No. 123)
Asymmetric unit:
Si: 0.0000 0.0000 0.0000 x1
P: 0.0000 0.5000 0.0000 x2
Ru: 0.5000 0.5000 0.5000 x1
Cl: 0.0000 0.0000 0.5000 x1

***

[4]
This record from Alexandria describes crystalline SiPRuCl2 at its relaxed geometry. The functional is GGA-PBE.

## Properties
calculated volume: 106.0 Å³ per cell
magnetic moment: 0.00 Bohr magnetons per cell
theoretical density: 3.62 g/cm3
crystal system: tetragonal
Fermi-level density of states: 5.1 states/eV/cell
formation energy (no corrections): 0.55 eV per atom
raw total energy: -4.209 eV per atom
excess energy over the best structure of this formula in the dataset: 0.0000 eV per atom

Cell lengths 4.8297, 4.8297, 4.5451 Å; angles 90.00, 90.00, 90.00 degrees
Space group P4/mmm (No. 123)
Asymmetric unit:
Si: 0.0000 0.0000 0.0000 x1
P: 0.5000 0.5000 0.0000 x1
Ru: 0.5000 0.5000 0.5000 x1
Cl: 0.0000 0.5000 0.5000 x2

***

[5]
This record from Alexandria describes crystalline Sm6PRu2Cl3 at its relaxed geometry. The functional is GGA-PBE.

## Properties
calculated volume: 633.1 Å³ per cell
magnetic moment: 0.00 Bohr magnetons per cell
theoretical density: 6.51 g/cm3
crystal system: monoclinic
Fermi-level density of states: 17.7 states/eV/cell
formation energy (no corrections): -1.10 eV per atom
raw total energy: -5.916 eV per atom

Cell lengths 7.0724, 12.2580, 7.6770 Å; angles 90.00, 107.96, 90.00 degrees
Space group C2/m (No. 12)
Asymmetric unit:
Sm: 0.2233 0.0000 0.2054 x4
Sm: 0.2397 0.3279 0.2063 x8
P: 0.0000 0.5000 0.0000 x2
Ru: 0.0000 0.1674 0.0000 x4
Cl: 0.0000 0.0000 0.5000 x2
Cl: 0.0000 0.3387 0.5000 x4

***

[6]
This record from Alexandria describes crystalline Sm4PRuCl2 at its relaxed geometry. The functional is GGA-PBE.

## Properties
calculated volume: 209.1 Å³ per cell
magnetic moment: 0.00 Bohr magnetons per cell
theoretical density: 6.39 g/cm3
crystal system: monoclinic
Fermi-level density of states: 5.4 states/eV/cell
formation energy (no corrections): -1.21 eV per atom
raw total energy: -5.863 eV per atom

Cell lengths 7.3257, 3.9965, 7.4342 Å; angles 90.00, 106.08, 90.00 degrees
Space group P2/m (No. 10)
Asymmetric unit:
Sm: 0.2279 0.0000 0.2093 x2
Sm: 0.2536 0.5000 0.7981 x2
P: 0.5000 0.0000 0.0000 x1
Ru: 0.0000 0.5000 0.0000 x1
Cl: 0.0000 0.0000 0.5000 x1
Cl: 0.5000 0.5000 0.5000 x1